Ta3Ge at its PBEsol-relaxed geometry. Source: Alexandria, functional meta-GGA SCAN.

Output
- Fermi-level density of states (states/eV/cell) = 18.41
- M_tot (Bohr magnetons per cell) = 0.00
- energy relative to the elements (eV per atom) = -0.316
- total energy (eV/atom) = -55.025

a = 5.210 Å, b = 10.209 Å, c = 10.209 Å
α = 90.00°, β = 90.00°, γ = 90.00°
Sites, in units of the cell vectors:
Ta 0.721 0.517 0.649
Ta 0.221 0.149 0.983
Ta 0.532 0.099 0.415
Ta 0.468 0.415 0.901
Ta 0.486 0.713 0.812
Ta 0.986 0.688 0.213
Ta 0.779 0.983 0.851
Ta 0.514 0.188 0.713
Ta 0.032 0.085 0.599
Ta 0.779 0.017 0.149
Ta 0.721 0.483 0.351
Ta 0.986 0.312 0.787
Ta 0.279 0.649 0.483
Ta 0.968 0.401 0.085
Ta 0.014 0.213 0.312
Ta 0.279 0.351 0.517
Ta 0.221 0.851 0.017
Ta 0.032 0.915 0.401
Ta 0.014 0.787 0.688
Ta 0.968 0.599 0.915
Ta 0.468 0.585 0.099
Ta 0.514 0.812 0.287
Ta 0.486 0.287 0.188
Ta 0.532 0.901 0.585
Ge 0.283 0.972 0.796
Ge 0.783 0.296 0.528
Ge 0.717 0.796 0.028
Ge 0.783 0.704 0.472
Ge 0.717 0.204 0.972
Ge 0.217 0.472 0.296
Ge 0.283 0.028 0.204
Ge 0.217 0.528 0.704